Entry 1:
The following is a GGA+U calculation of a relaxed structure of CsPuMn2O8, from the Alexandria database.

It has space group C2/m (No. 12), with a = 9.0317 Å, b = 5.8750 Å, c = 8.7871 Å, α = 90.00°, β = 95.79° and γ = 90.00°. The asymmetric unit holds Cs at (0.0000, 0.0000, 0.0000), Pu at (0.0000, 0.0000, 0.5000), Mn at (0.1239, 0.5000, 0.3000), O at (0.0187, 0.2535, 0.3302), O at (0.1797, 0.5000, 0.1280) and O at (0.2270, 0.0000, 0.5501).

The calculation puts the density of states at the Fermi level at 0.31 states/eV per atom. Its electronic total energy is -7.40 eV/atom.

---

Entry 2:
The following is a GGA+U calculation of a relaxed structure of CsPuMnO4, from the Alexandria database.

It has space group Imma (No. 74), with a = 7.1186 Å, b = 7.6835 Å, c = 9.2099 Å, α = 90.00°, β = 90.00° and γ = 90.00°. The asymmetric unit holds Cs at (0.0000, 0.2500, 0.1480), Pu at (0.2500, 0.2500, 0.7500), Mn at (0.0000, 0.0000, 0.5000), O at (0.0000, 0.0741, 0.7401) and O at (0.1962, 0.2500, 0.5308).

The calculation puts the density of states at the Fermi level at 0.85 states/eV per atom. Its electronic total energy is -8.15 eV/atom.